# PBE-GGA MnZn2Re, optimized geometry
data_MnZn2Re
_chemical_formula_sum 'Mn1 Zn2 Re1'
_cell_length_a 3.1540
_cell_length_b 3.1540
_cell_length_c 5.6449
_cell_angle_alpha 90.00
_cell_angle_beta 90.00
_cell_angle_gamma 90.00
_symmetry_space_group_name_H-M 'P 4/m m m'
_symmetry_Int_Tables_number 123
_symmetry_space_group_name_Hall '-P 4 2'
loop_
_atom_site_label
_atom_site_type_symbol
_atom_site_fract_x
_atom_site_fract_y
_atom_site_fract_z
Mn1 Mn 0.0000 0.0000 0.0000
Zn1 Zn 0.5000 0.5000 0.2453
Re1 Re 0.0000 0.0000 0.5000
# * total magnetization: 3.42 μB/cell
# * offset from the most stable computed form: 0.267 eV/atom
# * crystal system: tetragonal
# * formation enthalpy at 0 K: 1.292 eV per formula unit

---

# PBE-GGA TbHo2Cd3, optimized geometry
data_TbHo2Cd3
_chemical_formula_sum 'Tb1 Ho2 Cd3'
_cell_length_a 3.7396
_cell_length_b 3.7396
_cell_length_c 11.2147
_cell_angle_alpha 90.00
_cell_angle_beta 90.00
_cell_angle_gamma 90.00
_symmetry_space_group_name_H-M 'P 4/m m m'
_symmetry_Int_Tables_number 123
_symmetry_space_group_name_Hall '-P 4 2'
loop_
_atom_site_label
_atom_site_type_symbol
_atom_site_fract_x
_atom_site_fract_y
_atom_site_fract_z
Tb1 Tb 0.0000 0.0000 0.0000
Ho1 Ho 0.0000 0.0000 0.3341
Cd1 Cd 0.5000 0.5000 0.1692
Cd2 Cd 0.5000 0.5000 0.5000
# * total magnetization: 0.00 μB/cell
# * crystal system: tetragonal
# * formation enthalpy at 0 K: -1.908 eV per formula unit

---

# PBE-GGA Ag2HgW, optimized geometry
data_Ag2HgW
_chemical_formula_sum 'Ag6 Hg3 W3'
_cell_length_a 2.8954
_cell_length_b 2.8954
_cell_length_c 30.0489
_cell_angle_alpha 90.00
_cell_angle_beta 90.00
_cell_angle_gamma 120.00
_symmetry_space_group_name_H-M 'R -3 m'
_symmetry_Int_Tables_number 166
_symmetry_space_group_name_Hall '-R 3 2"'
loop_
_atom_site_label
_atom_site_type_symbol
_atom_site_fract_x
_atom_site_fract_y
_atom_site_fract_z
Ag1 Ag 0.0000 0.0000 0.2464
Hg1 Hg 0.0000 0.0000 0.0000
W1 W 0.0000 0.0000 0.5000
# * total magnetization: 0.00 μB/cell
# * crystal system: trigonal
# * formation enthalpy at 0 K: 1.758 eV per formula unit

---

# PBE-GGA Pa3CuHg3Se8, optimized geometry
data_Pa3CuHg3Se8
_chemical_formula_sum 'Pa6 Cu2 Hg6 Se16'
_cell_length_a 13.7292
_cell_length_b 8.5126
_cell_length_c 10.6023
_cell_angle_alpha 90.00
_cell_angle_beta 113.94
_cell_angle_gamma 90.00
_symmetry_space_group_name_H-M 'C 1 2/m 1'
_symmetry_Int_Tables_number 12
loop_
_symmetry_equiv_pos_as_xyz
'x,y,z'
'-x,-y,-z'
'-x,y,-z'
'x,-y,z'
'x+1/2,y+1/2,z'
'-x+1/2,-y+1/2,-z'
'-x+1/2,y+1/2,-z'
'x+1/2,-y+1/2,z'
loop_
_atom_site_label
_atom_site_type_symbol
_atom_site_fract_x
_atom_site_fract_y
_atom_site_fract_z
Pa1 Pa 0.0000 0.0000 0.0000
Pa2 Pa 0.2500 0.2500 0.0000
Cu1 Cu 0.0000 0.5000 0.0000
Hg1 Hg 0.0000 0.5000 0.5000
Hg2 Hg 0.2500 0.2500 0.5000
Se1 Se 0.0369 0.2269 0.8396
Se2 Se 0.1947 0.5000 0.1335
Se3 Se 0.2228 0.0000 0.1619
# * total magnetization: 0.55 μB/cell
# * raw formation energy: -0.842 eV per atom
# * crystal system: monoclinic

---

# PBE-GGA RbCdH2Au, optimized geometry
data_RbCdH2Au
_chemical_formula_sum 'Rb1 Cd1 H2 Au1'
_cell_length_a 4.4470
_cell_length_b 4.4470
_cell_length_c 5.4899
_cell_angle_alpha 90.00
_cell_angle_beta 90.00
_cell_angle_gamma 90.00
_symmetry_space_group_name_H-M 'P 4/m m m'
_symmetry_Int_Tables_number 123
_symmetry_space_group_name_Hall '-P 4 2'
loop_
_atom_site_label
_atom_site_type_symbol
_atom_site_fract_x
_atom_site_fract_y
_atom_site_fract_z
Rb1 Rb 0.0000 0.0000 0.0000
Cd1 Cd 0.5000 0.5000 0.5000
H1 H 0.0000 0.5000 0.5000
Au1 Au 0.5000 0.5000 0.0000
# * total magnetization: 0.00 μB/cell
# * raw total energy: -0.163 Ry per atom
# * crystal system: tetragonal

---

# PBE-GGA MgSn2Au2, optimized geometry
data_MgSn2Au2
_chemical_formula_sum 'Mg2 Sn4 Au4'
_cell_length_a 4.2324
_cell_length_b 4.2324
_cell_length_c 13.3370
_cell_angle_alpha 90.00
_cell_angle_beta 90.00
_cell_angle_gamma 90.00
_symmetry_space_group_name_H-M 'I 4/m m m'
_symmetry_Int_Tables_number 139
_symmetry_space_group_name_Hall '-I 4 2'
loop_
_atom_site_label
_atom_site_type_symbol
_atom_site_fract_x
_atom_site_fract_y
_atom_site_fract_z
Mg1 Mg 0.0000 0.0000 0.0000
Sn1 Sn 0.0000 0.5000 0.2500
Au1 Au 0.0000 0.0000 0.4010
# * total magnetization: 0.00 μB/cell
# * offset from the most stable computed form: 0.128 eV/atom
# * crystal system: tetragonal
# * formation enthalpy at 0 K: -0.390 eV per formula unit

---

# PBE-GGA La2Ag2Cl, optimized geometry
data_La2Ag2Cl
_chemical_formula_sum 'La4 Ag4 Cl2'
_cell_length_a 8.0351
_cell_length_b 8.0351
_cell_length_c 4.4697
_cell_angle_alpha 90.00
_cell_angle_beta 90.00
_cell_angle_gamma 90.00
_symmetry_space_group_name_H-M 'P 4/m b m'
_symmetry_Int_Tables_number 127
_symmetry_space_group_name_Hall '-P 4 2ab'
loop_
_atom_site_label
_atom_site_type_symbol
_atom_site_fract_x
_atom_site_fract_y
_atom_site_fract_z
La1 La 0.1698 0.3302 0.0000
Ag1 Ag 0.1250 0.6250 0.5000
Cl1 Cl 0.0000 0.0000 0.0000
# * total magnetization: 0.00 μB/cell
# * raw formation energy: -0.671 eV per atom
# * offset from the most stable computed form: 0.000 eV/atom
# * crystal system: tetragonal

---

# PBE-GGA BeCr2Mo, optimized geometry
data_BeCr2Mo
_chemical_formula_sum 'Be1 Cr2 Mo1'
_cell_length_a 3.4948
_cell_length_b 3.4948
_cell_length_c 3.9146
_cell_angle_alpha 90.00
_cell_angle_beta 90.00
_cell_angle_gamma 90.00
_symmetry_space_group_name_H-M 'P 4/m m m'
_symmetry_Int_Tables_number 123
_symmetry_space_group_name_Hall '-P 4 2'
loop_
_atom_site_label
_atom_site_type_symbol
_atom_site_fract_x
_atom_site_fract_y
_atom_site_fract_z
Be1 Be 0.0000 0.0000 0.0000
Cr1 Cr 0.0000 0.5000 0.5000
Mo1 Mo 0.5000 0.5000 0.0000
# * total magnetization: 0.00 μB/cell
# * crystal system: tetragonal
# * formation enthalpy at 0 K: 0.550 eV per formula unit

---

# PBE-GGA Th2Ga3CuRh4, optimized geometry
data_Th2Ga3CuRh4
_chemical_formula_sum 'Th2 Ga3 Cu1 Rh4'
_cell_length_a 4.2267
_cell_length_b 4.2267
_cell_length_c 10.3566
_cell_angle_alpha 90.00
_cell_angle_beta 90.00
_cell_angle_gamma 90.00
_symmetry_space_group_name_H-M 'P -4 m 2'
_symmetry_Int_Tables_number 115
loop_
_symmetry_equiv_pos_as_xyz
'x,y,z'
'y,-x,-z'
'-x,-y,z'
'-y,x,-z'
'-x,y,z'
'-y,-x,-z'
'x,-y,z'
'y,x,-z'
loop_
_atom_site_label
_atom_site_type_symbol
_atom_site_fract_x
_atom_site_fract_y
_atom_site_fract_z
Th1 Th 0.0000 0.5000 0.2469
Ga1 Ga 0.0000 0.5000 0.8750
Ga2 Ga 0.5000 0.5000 0.5000
Cu1 Cu 0.0000 0.0000 0.5000
Rh1 Rh 0.0000 0.0000 0.0000
Rh2 Rh 0.0000 0.5000 0.6379
Rh3 Rh 0.5000 0.5000 0.0000
# * total magnetization: 0.00 μB/cell
# * crystal system: tetragonal
# * formation enthalpy at 0 K: -7.204 eV per formula unit

---

# PBE-GGA Li2TcPb, optimized geometry
data_Li2TcPb
_chemical_formula_sum 'Li4 Tc2 Pb2'
_cell_length_a 4.0477
_cell_length_b 4.0477
_cell_length_c 8.0108
_cell_angle_alpha 90.00
_cell_angle_beta 90.00
_cell_angle_gamma 90.00
_symmetry_space_group_name_H-M 'I -4 m 2'
_symmetry_Int_Tables_number 119
_symmetry_space_group_name_Hall 'I -4 -2'
loop_
_atom_site_label
_atom_site_type_symbol
_atom_site_fract_x
_atom_site_fract_y
_atom_site_fract_z
Li1 Li 0.0000 0.0000 0.0000
Li2 Li 0.0000 0.5000 0.2500
Tc1 Tc 0.0000 0.0000 0.5000
Pb1 Pb 0.0000 0.5000 0.7500
# * total magnetization: 0.00 μB/cell
# * crystal system: tetragonal
# * formation enthalpy at 0 K: 0.972 eV per formula unit

---

# PBE-GGA Li3P, optimized geometry
data_Li3P
_chemical_formula_sum 'Li3 P1'
_cell_length_a 2.9010
_cell_length_b 4.1313
_cell_length_c 5.1470
_cell_angle_alpha 90.00
_cell_angle_beta 103.53
_cell_angle_gamma 90.00
_symmetry_space_group_name_H-M 'P 1 2/m 1'
_symmetry_Int_Tables_number 10
loop_
_symmetry_equiv_pos_as_xyz
'x,y,z'
'-x,-y,-z'
'-x,y,-z'
'x,-y,z'
loop_
_atom_site_label
_atom_site_type_symbol
_atom_site_fract_x
_atom_site_fract_y
_atom_site_fract_z
Li1 Li 0.0000 0.0000 0.0000
Li2 Li 0.2783 0.5000 0.7122
P1 P 0.5000 0.0000 0.5000
# * total magnetization: 0.00 μB/cell
# * crystal system: monoclinic
# * formation enthalpy at 0 K: -1.365 eV per formula unit

---

# PBE-GGA TaNbSn4, optimized geometry
data_TaNbSn4
_chemical_formula_sum 'Ta4 Nb4 Sn16'
_cell_length_a 6.9278
_cell_length_b 6.9278
_cell_length_c 11.4696
_cell_angle_alpha 90.00
_cell_angle_beta 90.00
_cell_angle_gamma 90.00
_symmetry_space_group_name_H-M 'I 4/m c m'
_symmetry_Int_Tables_number 140
_symmetry_space_group_name_Hall '-I 4 2c'
loop_
_atom_site_label
_atom_site_type_symbol
_atom_site_fract_x
_atom_site_fract_y
_atom_site_fract_z
Ta1 Ta 0.0000 0.0000 0.0000
Nb1 Nb 0.0000 0.0000 0.2500
Sn1 Sn 0.1564 0.3436 0.1305
# * total magnetization: 0.77 μB/cell
# * crystal system: tetragonal
# * formation enthalpy at 0 K: 0.016 eV per formula unit

---

# PBE-GGA GaAg6Hg, optimized geometry
data_GaAg6Hg
_chemical_formula_sum 'Ga1 Ag6 Hg1'
_cell_length_a 4.1746
_cell_length_b 4.1746
_cell_length_c 8.3447
_cell_angle_alpha 90.00
_cell_angle_beta 90.00
_cell_angle_gamma 90.00
_symmetry_space_group_name_H-M 'P 4/m m m'
_symmetry_Int_Tables_number 123
_symmetry_space_group_name_Hall '-P 4 2'
loop_
_atom_site_label
_atom_site_type_symbol
_atom_site_fract_x
_atom_site_fract_y
_atom_site_fract_z
Ga1 Ga 0.0000 0.0000 0.0000
Ag1 Ag 0.0000 0.5000 0.2414
Ag2 Ag 0.5000 0.5000 0.0000
Ag3 Ag 0.5000 0.5000 0.5000
Hg1 Hg 0.0000 0.0000 0.5000
# * total magnetization: 0.00 μB/cell
# * crystal system: tetragonal
# * formation enthalpy at 0 K: 0.171 eV per formula unit

---

# PBE-GGA TiPb2Au2, optimized geometry
data_TiPb2Au2
_chemical_formula_sum 'Ti2 Pb4 Au4'
_cell_length_a 7.2075
_cell_length_b 7.2075
_cell_length_c 4.5027
_cell_angle_alpha 90.00
_cell_angle_beta 90.00
_cell_angle_gamma 90.00
_symmetry_space_group_name_H-M 'P 4/m b m'
_symmetry_Int_Tables_number 127
_symmetry_space_group_name_Hall '-P 4 2ab'
loop_
_atom_site_label
_atom_site_type_symbol
_atom_site_fract_x
_atom_site_fract_y
_atom_site_fract_z
Ti1 Ti 0.0000 0.0000 0.0000
Pb1 Pb 0.1777 0.3223 0.5000
Au1 Au 0.1379 0.6379 0.0000
# * total magnetization: 0.00 μB/cell
# * crystal system: tetragonal
# * formation enthalpy at 0 K: 0.358 eV per formula unit

---

# PBE-GGA Te2PtCN, optimized geometry
data_Te2PtCN
_chemical_formula_sum 'Te2 Pt1 C1 N1'
_cell_length_a 5.9583
_cell_length_b 5.9583
_cell_length_c 2.6299
_cell_angle_alpha 90.00
_cell_angle_beta 90.00
_cell_angle_gamma 90.00
_symmetry_space_group_name_H-M 'P 4/m m m'
_symmetry_Int_Tables_number 123
_symmetry_space_group_name_Hall '-P 4 2'
loop_
_atom_site_label
_atom_site_type_symbol
_atom_site_fract_x
_atom_site_fract_y
_atom_site_fract_z
Te1 Te 0.0000 0.5000 0.0000
Pt1 Pt 0.0000 0.0000 0.5000
C1 C 0.5000 0.5000 0.0000
N1 N 0.5000 0.5000 0.5000
# * total magnetization: 0.02 μB/cell
# * raw formation energy: 1.008 eV per atom
# * offset from the most stable computed form: 0.000 eV/atom
# * crystal system: tetragonal

---

# PBE-GGA La2Pm2PrHo2, optimized geometry
data_La2Pm2PrHo2
_chemical_formula_sum 'La4 Pm4 Pr2 Ho4'
_cell_length_a 11.5446
_cell_length_b 5.1540
_cell_length_c 8.1953
_cell_angle_alpha 90.00
_cell_angle_beta 97.91
_cell_angle_gamma 90.00
_symmetry_space_group_name_H-M 'C 1 2/m 1'
_symmetry_Int_Tables_number 12
loop_
_symmetry_equiv_pos_as_xyz
'x,y,z'
'-x,-y,-z'
'-x,y,-z'
'x,-y,z'
'x+1/2,y+1/2,z'
'-x+1/2,-y+1/2,-z'
'-x+1/2,y+1/2,-z'
'x+1/2,-y+1/2,z'
loop_
_atom_site_label
_atom_site_type_symbol
_atom_site_fract_x
_atom_site_fract_y
_atom_site_fract_z
La1 La 0.1426 0.0000 0.4275
Pm1 Pm 0.2153 0.5000 0.1413
Pr1 Pr 0.0000 0.0000 0.0000
Ho1 Ho 0.0710 0.5000 0.7150
# * total magnetization: 0.00 μB/cell
# * crystal system: monoclinic
# * formation enthalpy at 0 K: 0.163 eV per formula unit

---

# PBE-GGA Y2AgBr, optimized geometry
data_Y2AgBr
_chemical_formula_sum 'Y8 Ag4 Br4'
_cell_length_a 7.5956
_cell_length_b 7.5956
_cell_length_c 7.5956
_cell_angle_alpha 90.00
_cell_angle_beta 90.00
_cell_angle_gamma 90.00
_symmetry_space_group_name_H-M 'F -4 3 m'
_symmetry_Int_Tables_number 216
_symmetry_space_group_name_Hall 'F -4 2 3'
loop_
_atom_site_label
_atom_site_type_symbol
_atom_site_fract_x
_atom_site_fract_y
_atom_site_fract_z
Y1 Y 0.0000 0.0000 0.0000
Y2 Y 0.2500 0.2500 0.2500
Ag1 Ag 0.0000 0.0000 0.5000
Br1 Br 0.2500 0.2500 0.7500
# * total magnetization: 7.47 μB/cell
# * raw formation energy: 0.216 eV per atom
# * offset from the most stable computed form: 0.818 eV/atom
# * crystal system: cubic

---

# PBE-GGA Tb4Sm5Ho3, optimized geometry
data_Tb4Sm5Ho3
_chemical_formula_sum 'Tb8 Sm10 Ho6'
_cell_length_a 16.2263
_cell_length_b 5.9108
_cell_length_c 9.3037
_cell_angle_alpha 90.00
_cell_angle_beta 116.62
_cell_angle_gamma 90.00
_symmetry_space_group_name_H-M 'C 1 2/m 1'
_symmetry_Int_Tables_number 12
loop_
_symmetry_equiv_pos_as_xyz
'x,y,z'
'-x,-y,-z'
'-x,y,-z'
'x,-y,z'
'x+1/2,y+1/2,z'
'-x+1/2,-y+1/2,-z'
'-x+1/2,y+1/2,-z'
'x+1/2,-y+1/2,z'
loop_
_atom_site_label
_atom_site_type_symbol
_atom_site_fract_x
_atom_site_fract_y
_atom_site_fract_z
Tb1 Tb 0.0810 0.0000 0.4397
Tb2 Tb 0.2153 0.0000 0.8784
Sm1 Sm 0.0000 0.0000 0.0000
Sm2 Sm 0.0756 0.5000 0.7015
Sm3 Sm 0.1737 0.5000 0.3865
Ho1 Ho 0.0000 0.5000 0.0000
Ho2 Ho 0.2085 0.0000 0.2286
# * total magnetization: 0.02 μB/cell
# * offset from the most stable computed form: 0.212 eV/atom
# * crystal system: monoclinic
# * formation enthalpy at 0 K: 2.719 eV per formula unit

---

# PBE-GGA NbC, optimized geometry
data_NbC
_chemical_formula_sum 'Nb4 C4'
_cell_length_a 4.5062
_cell_length_b 4.5062
_cell_length_c 4.5062
_cell_angle_alpha 90.00
_cell_angle_beta 90.00
_cell_angle_gamma 90.00
_symmetry_space_group_name_H-M 'F m -3 m'
_symmetry_Int_Tables_number 225
_symmetry_space_group_name_Hall '-F 4 2 3'
loop_
_atom_site_label
_atom_site_type_symbol
_atom_site_fract_x
_atom_site_fract_y
_atom_site_fract_z
Nb1 Nb 0.0000 0.0000 0.0000
C1 C 0.0000 0.0000 0.5000
# * total magnetization: 0.00 μB/cell
# * offset from the most stable computed form: 0.000 eV/atom
# * crystal system: cubic
# * formation enthalpy at 0 K: -0.944 eV per formula unit

---

# PBE-GGA Lu2Te3, optimized geometry
data_Lu2Te3
_chemical_formula_sum 'Lu8 Te12'
_cell_length_a 9.7950
_cell_length_b 7.4435
_cell_length_c 10.8832
_cell_angle_alpha 90.00
_cell_angle_beta 117.64
_cell_angle_gamma 90.00
_symmetry_space_group_name_H-M 'P 1 21/c 1'
_symmetry_Int_Tables_number 14
loop_
_symmetry_equiv_pos_as_xyz
'x,y,z'
'-x,-y,-z'
'-x,y+1/2,-z+1/2'
'x,-y+1/2,z+1/2'
loop_
_atom_site_label
_atom_site_type_symbol
_atom_site_fract_x
_atom_site_fract_y
_atom_site_fract_z
Lu1 Lu 0.1042 0.2330 0.4793
Lu2 Lu 0.2829 0.6487 0.8827
Te1 Te 0.0081 0.0830 0.1782
Te2 Te 0.2304 0.6145 0.1329
Te3 Te 0.3930 0.2405 0.4542
# * total magnetization: 0.00 μB/cell
# * raw formation energy: -1.163 eV per atom
# * crystal system: monoclinic